[1]
Sm5Ag2Ir2: relaxed, PBE-GGA.

Structure (POSCAR):
```
Sm5Ag2Ir2
1.0
6.477 0.000 0.000
0.000 7.464 0.000
-3.238 -3.732 9.599
Sm Ag Ir
10 4 4
Direct
0.258 0.641 0.847
0.742 0.794 0.153
0.089 0.141 0.847
0.911 0.294 0.153
0.319 0.016 0.321
0.681 0.695 0.679
0.502 0.516 0.321
0.498 0.195 0.679
0.104 0.745 0.500
0.896 0.245 0.500
0.178 0.618 0.116
0.822 0.502 0.884
0.437 0.118 0.116
0.563 0.002 0.884
0.000 0.919 0.000
0.500 0.419 0.000
0.295 0.405 0.500
0.705 0.905 0.500
```

Total DFT energy (no corrections) ... -101.464 eV per cell
Mass density ... 9676 kg/m3
Symmetry ... Ima2 (46)
Energy of formation from the pure elements ... -0.41 eV per atom
Offset from the most stable computed form ... 76.8 meV/atom

=====

[2]
Eu2BiSb: relaxed, PBE-GGA.

Structure (POSCAR):
```
Eu2BiSb
1.0
-2.872 3.206 1.342
-2.704 2.004 -3.001
-7.442 -3.818 0.769
Eu Sb Bi
2 1 1
Direct
0.246 0.246 0.263
0.754 0.754 0.737
0.500 0.500 0.500
0.000 0.000 0.000
```

Total DFT energy (no corrections) ... -31.631 eV per cell
Mass density ... 7495 kg/m3
Symmetry ... R-3m (166)
Energy relative to the elements, uncorrected ... -3.08 eV/f.u.
Offset from the most stable computed form ... 54.5 meV/atom